1.
A relaxed Pr4YEr15 crystal, computed with PBE.

Cell: 5.0326 5.0326 25.0255 Å, 90.00 90.00 90.00°
Space group P4/mmm (No. 123)
Unique sites:
Pr: 0.0000 0.0000 0.1003 x2
Pr: 0.0000 0.0000 0.3005 x2
Y: 0.0000 0.0000 0.5000 x1
Er: 0.0000 0.5000 0.0000 x2
Er: 0.0000 0.5000 0.2006 x4
Er: 0.0000 0.5000 0.4013 x4
Er: 0.5000 0.5000 0.1002 x2
Er: 0.5000 0.5000 0.3010 x2
Er: 0.5000 0.5000 0.5000 x1

Computed properties:
Its formation energy is 26 meV per atom. The value obtained for the spin magnetization is 0.000 μB per cell. The value obtained for the calculated total energy is -93.51 eV for the cell shown.

=====

2.
A relaxed PrY5Er4 crystal, computed with PBE.

Cell: 10.2084 10.2084 6.3296 Å, 90.00 90.00 90.00°
Space group I4 (No. 79)
Unique sites:
Pr: 0.0000 0.0000 0.0000 x2
Y: 0.0000 0.0000 0.4538 x2
Y: 0.1450 0.7640 0.7280 x8
Er: 0.0519 0.6483 0.2309 x8

Computed properties:
Its formation energy is 307 meV per atom. The value obtained for the spin magnetization is 0.001 μB per cell. The value obtained for the calculated total energy is -104.57 eV for the cell shown.

=====

3.
A relaxed PrYErZn crystal, computed with PBE.

Cell: 3.5850 3.5850 8.7874 Å, 90.00 90.00 90.00°
Space group P4mm (No. 99)
Unique sites:
Pr: 0.0000 0.0000 0.0000 x1
Y: 0.5000 0.5000 0.6962 x1
Er: 0.5000 0.5000 0.2963 x1
Zn: 0.0000 0.0000 0.4917 x1

Computed properties:
Its formation energy is -169 meV per atom. The calculation puts the distance to the lowest polymorph of the same formula at 0.0000 eV per atom. The value obtained for the spin magnetization is 0.000 μB per cell. The value obtained for the calculated total energy is -17.76 eV for the cell shown.

=====

4.
A relaxed PrYErZn crystal, computed with PBE.

Cell: 7.6446 7.6446 7.6446 Å, 90.00 90.00 90.00°
Space group F-43m (No. 216)
Unique sites:
Pr: 0.0000 0.0000 0.0000 x4
Y: 0.0000 0.0000 0.5000 x4
Er: 0.2500 0.2500 0.2500 x4
Zn: 0.2500 0.2500 0.7500 x4

Computed properties:
Its formation energy is 34 meV per atom. The calculation puts the distance to the lowest polymorph of the same formula at 0.2028 eV per atom. The value obtained for the spin magnetization is 0.005 μB per cell. The value obtained for the calculated total energy is -67.78 eV for the cell shown.

=====

5.
A relaxed Pr2Er3Zn3 crystal, computed with PBE.

Cell: 3.6550 5.1167 21.8721 Å, 90.00 90.00 90.00°
Space group Immm (No. 71)
Unique sites:
Pr: 0.0000 0.0000 0.2262 x4
Er: 0.0000 0.0000 0.0000 x2
Er: 0.0000 0.5000 0.1133 x4
Zn: 0.0000 0.0000 0.5000 x2
Zn: 0.0000 0.5000 0.3910 x4

Computed properties:
Its formation energy is -221 meV per atom. The value obtained for the spin magnetization is 0.000 μB per cell. The value obtained for the calculated total energy is -57.68 eV for the cell shown.

=====

6.
A relaxed Pr2ErZn2 crystal, computed with PBE.

Cell: 7.6462 11.8679 6.1689 Å, 90.00 90.00 90.00°
Space group Ibam (No. 72)
Unique sites:
Pr: 0.1570 0.2015 0.0000 x8
Er: 0.0000 0.5000 0.2500 x4
Zn: 0.1712 0.0568 0.5000 x8

Computed properties:
Its formation energy is -38 meV per atom. The calculation puts the distance to the lowest polymorph of the same formula at 0.1626 eV per atom. The value obtained for the spin magnetization is 0.000 μB per cell. The value obtained for the calculated total energy is -67.44 eV for the cell shown.

=====

7.
A relaxed PrEr2Zn9 crystal, computed with PBE.

Cell: 5.4681 5.4681 25.7701 Å, 90.00 90.00 120.00°
Space group R-3m (No. 166, hexagonal axes)
Unique sites:
Pr: 0.0000 0.0000 0.0000 x3
Er: 0.0000 0.0000 0.1413 x6
Zn: 0.0000 0.0000 0.3352 x6
Zn: 0.0000 0.0000 0.5000 x3
Zn: 0.0072 0.5036 0.9162 x18

Computed properties:
Its formation energy is -320 meV per atom. The value obtained for the spin magnetization is 0.000 μB per cell. The value obtained for the calculated total energy is -87.62 eV for the cell shown.

=====

8.
A relaxed Pr2Er6Zn crystal, computed with PBE.

Cell: 9.6864 10.1888 5.4126 Å, 90.00 90.00 90.00°
Space group Pnnm (No. 58)
Unique sites:
Pr: 0.1868 0.2490 0.0000 x4
Er: 0.0136 0.1859 0.5000 x4
Er: 0.1364 0.6015 0.0000 x4
Er: 0.1901 0.9248 0.0000 x4
Zn: 0.0000 0.5000 0.5000 x2

Computed properties:
Its formation energy is 40 meV per atom. The value obtained for the spin magnetization is 0.000 μB per cell. The value obtained for the calculated total energy is -75.70 eV for the cell shown.